Record 1
Entry from Alexandria via LeMat-Bulk: Li5Ni6O12 at its PBEsol-relaxed geometry (meta-GGA SCAN).

a b c (Å): 5.745 6.344 6.344
angles (deg): 71.67 76.61 64.57
Space group P-1 (No. 2)
One atom of each set of equivalent atoms:
1 Li 0.000 0.000 0.000 [1 per cell]
2 Li 0.174 0.326 0.673 [2 per cell]
3 Li 0.339 0.681 0.323 [2 per cell]
4 Ni 0.081 0.166 0.332 [2 per cell]
5 Ni 0.254 0.495 0.999 [2 per cell]
6 Ni 0.420 0.834 0.669 [2 per cell]
7 O 0.044 0.068 0.655 [2 per cell]
8 O 0.087 0.275 0.015 [2 per cell]
9 O 0.202 0.402 0.316 [2 per cell]
10 O 0.301 0.592 0.682 [2 per cell]
11 O 0.397 0.727 0.983 [2 per cell]
12 O 0.453 0.927 0.359 [2 per cell]

Calculated values
DOS(E_F) = 6.250 states/eV per cell
formation energy from raw total energies = -1.562 eV per atom
final energy = -219.69 eV/cell
V = 8.56 Å³/atom


Record 2
Entry from Alexandria via LeMat-Bulk: LiNi2O4 at its PBEsol-relaxed geometry (meta-GGA SCAN).

a b c (Å): 5.621 5.642 8.077
angles (deg): 90.00 90.00 90.00
Space group Imma (No. 74)
One atom of each set of equivalent atoms:
1 Li 0.000 0.000 0.000 [4 per cell]
2 Ni 0.000 0.000 0.500 [4 per cell]
3 Ni 0.250 0.250 0.250 [4 per cell]
4 O 0.000 0.032 0.254 [8 per cell]
5 O 0.229 0.250 0.480 [8 per cell]

Calculated values
DOS(E_F) = 6.549 states/eV per cell
formation energy from raw total energies = -1.379 eV per atom
final energy = -277.26 eV/cell
V = 9.15 Å³/atom


Record 3
Entry from Alexandria via LeMat-Bulk: Li12Ni11O28 at its PBEsol-relaxed geometry (meta-GGA SCAN).

a b c (Å): 5.790 6.311 12.818
angles (deg): 83.66 83.24 74.61
Space group P1 (No. 1)
One atom of each set of equivalent atoms:
1 Li 0.000 0.000 0.000 [1 per cell]
2 Li 0.005 0.519 0.498 [1 per cell]
3 Li 0.152 0.861 0.571 [1 per cell]
4 Li 0.212 0.794 0.350 [1 per cell]
5 Li 0.365 0.667 0.920 [1 per cell]
6 Li 0.430 0.591 0.709 [1 per cell]
7 Li 0.570 0.943 0.784 [1 per cell]
8 Li 0.578 0.459 0.280 [1 per cell]
9 Li 0.654 0.382 0.076 [1 per cell]
10 Li 0.786 0.213 0.672 [1 per cell]
11 Li 0.798 0.739 0.140 [1 per cell]
12 Li 0.857 0.178 0.435 [1 per cell]
13 Ni 0.073 0.446 0.280 [1 per cell]
14 Ni 0.145 0.374 0.068 [1 per cell]
15 Ni 0.216 0.294 0.854 [1 per cell]
16 Ni 0.287 0.230 0.639 [1 per cell]
17 Ni 0.359 0.162 0.425 [1 per cell]
18 Ni 0.432 0.083 0.210 [1 per cell]
19 Ni 0.503 0.011 0.997 [1 per cell]
20 Ni 0.646 0.869 0.568 [1 per cell]
21 Ni 0.720 0.801 0.354 [1 per cell]
22 Ni 0.857 0.657 0.924 [1 per cell]
23 Ni 0.930 0.590 0.712 [1 per cell]
24 O 0.033 0.283 0.744 [1 per cell]
25 O 0.063 0.670 0.022 [1 per cell]
26 O 0.108 0.194 0.531 [1 per cell]
27 O 0.122 0.601 0.820 [1 per cell]
28 O 0.175 0.137 0.319 [1 per cell]
29 O 0.195 0.537 0.614 [1 per cell]
30 O 0.245 0.068 0.104 [1 per cell]
31 O 0.276 0.459 0.379 [1 per cell]
32 O 0.299 0.997 0.899 [1 per cell]
33 O 0.337 0.389 0.175 [1 per cell]
34 O 0.380 0.921 0.665 [1 per cell]
35 O 0.400 0.317 0.961 [1 per cell]
36 O 0.455 0.856 0.459 [1 per cell]
37 O 0.460 0.263 0.746 [1 per cell]
38 O 0.519 0.787 0.254 [1 per cell]
39 O 0.547 0.176 0.534 [1 per cell]
40 O 0.594 0.706 0.021 [1 per cell]
41 O 0.616 0.108 0.319 [1 per cell]
42 O 0.676 0.056 0.102 [1 per cell]
43 O 0.678 0.624 0.819 [1 per cell]
44 O 0.732 0.571 0.613 [1 per cell]
45 O 0.770 0.957 0.901 [1 per cell]
46 O 0.809 0.496 0.377 [1 per cell]
47 O 0.845 0.888 0.666 [1 per cell]
48 O 0.894 0.415 0.173 [1 per cell]
49 O 0.898 0.844 0.459 [1 per cell]
50 O 0.960 0.347 0.963 [1 per cell]
51 O 0.985 0.746 0.258 [1 per cell]

Calculated values
formation energy from raw total energies = -1.515 eV per atom
final energy = -458.35 eV/cell
V = 8.76 Å³/atom


Record 4
Entry from Alexandria via LeMat-Bulk: Li3Ni4O8 at its PBEsol-relaxed geometry (meta-GGA SCAN).

a b c (Å): 10.008 5.605 4.995
angles (deg): 90.00 110.62 90.00
Space group C2 (No. 5)
One atom of each set of equivalent atoms:
1 Li 0.000 0.000 0.000 [2 per cell]
2 Li 0.249 0.252 0.000 [4 per cell]
3 Ni 0.000 0.253 0.500 [2 per cell]
4 Ni 0.000 0.750 0.500 [2 per cell]
5 Ni 0.248 0.501 0.491 [4 per cell]
6 O 0.123 0.999 0.714 [4 per cell]
7 O 0.125 0.503 0.700 [4 per cell]
8 O 0.139 0.242 0.280 [4 per cell]
9 O 0.140 0.761 0.279 [4 per cell]

Calculated values
DOS(E_F) = 7.528 states/eV per cell
formation energy from raw total energies = -1.526 eV per atom
final energy = -289.20 eV/cell
V = 8.74 Å³/atom


Record 5
Entry from Alexandria via LeMat-Bulk: Li4Ni7O14 at its PBEsol-relaxed geometry (meta-GGA SCAN).

a b c (Å): 4.865 6.372 7.576
angles (deg): 86.84 79.16 83.28
Space group P-1 (No. 2)
One atom of each set of equivalent atoms:
1 Li 0.075 0.358 0.359 [2 per cell]
2 Li 0.221 0.075 0.074 [2 per cell]
3 Ni 0.000 0.500 0.000 [1 per cell]
4 Ni 0.141 0.210 0.718 [2 per cell]
5 Ni 0.288 0.924 0.432 [2 per cell]
6 Ni 0.430 0.639 0.144 [2 per cell]
7 O 0.018 0.952 0.668 [2 per cell]
8 O 0.096 0.771 0.057 [2 per cell]
9 O 0.168 0.668 0.378 [2 per cell]
10 O 0.232 0.473 0.772 [2 per cell]
11 O 0.312 0.385 0.095 [2 per cell]
12 O 0.376 0.186 0.491 [2 per cell]
13 O 0.460 0.103 0.816 [2 per cell]

Calculated values
DOS(E_F) = 2.804 states/eV per cell
formation energy from raw total energies = -1.428 eV per atom
final energy = -245.71 eV/cell
V = 9.16 Å³/atom


Record 6
Entry from Alexandria via LeMat-Bulk: Li7Ni8O16 at its PBEsol-relaxed geometry (meta-GGA SCAN).

a b c (Å): 6.382 6.435 7.482
angles (deg): 64.98 75.27 72.69
Space group P-1 (No. 2)
One atom of each set of equivalent atoms:
1 Li 0.000 0.000 0.000 [1 per cell]
2 Li 0.135 0.862 0.380 [2 per cell]
3 Li 0.262 0.742 0.743 [2 per cell]
4 Li 0.379 0.624 0.132 [2 per cell]
5 Ni 0.068 0.438 0.689 [2 per cell]
6 Ni 0.184 0.312 0.065 [2 per cell]
7 Ni 0.312 0.194 0.436 [2 per cell]
8 Ni 0.441 0.063 0.811 [2 per cell]
9 O 0.031 0.243 0.329 [2 per cell]
10 O 0.075 0.652 0.036 [2 per cell]
11 O 0.177 0.114 0.709 [2 per cell]
12 O 0.195 0.514 0.409 [2 per cell]
13 O 0.300 0.976 0.088 [2 per cell]
14 O 0.323 0.390 0.801 [2 per cell]
15 O 0.406 0.881 0.455 [2 per cell]
16 O 0.445 0.276 0.164 [2 per cell]

Calculated values
DOS(E_F) = 8.527 states/eV per cell
formation energy from raw total energies = -1.577 eV per atom
final energy = -294.71 eV/cell
V = 8.48 Å³/atom


Record 7
Entry from Alexandria via LeMat-Bulk: LiNiO2 at its PBEsol-relaxed geometry (meta-GGA SCAN).

a b c (Å): 4.945 4.983 7.437
angles (deg): 103.83 108.53 99.23
Space group P-1 (No. 2)
One atom of each set of equivalent atoms:
1 Li 0.000 0.000 0.000 [1 per cell]
2 Li 0.209 0.107 0.714 [2 per cell]
3 Li 0.409 0.703 0.910 [2 per cell]
4 Ni 0.000 0.500 0.500 [1 per cell]
5 Ni 0.201 0.601 0.197 [2 per cell]
6 Ni 0.398 0.198 0.397 [2 per cell]
7 O 0.038 0.279 0.268 [2 per cell]
8 O 0.188 0.371 0.956 [2 per cell]
9 O 0.218 0.823 0.452 [2 per cell]
10 O 0.385 0.941 0.166 [2 per cell]
11 O 0.408 0.432 0.643 [2 per cell]

Calculated values
DOS(E_F) = 7.524 states/eV per cell
formation energy from raw total energies = -1.612 eV per atom
final energy = -187.37 eV/cell
V = 8.15 Å³/atom


Record 8
Entry from Alexandria via LeMat-Bulk: Li11Ni12O24 at its PBEsol-relaxed geometry (meta-GGA SCAN).

a b c (Å): 12.392 8.583 9.475
angles (deg): 90.00 128.53 90.00
Space group C2/m (No. 12)
One atom of each set of equivalent atoms:
1 Li 0.000 0.000 0.000 [2 per cell]
2 Li 0.000 0.175 0.500 [4 per cell]
3 Li 0.000 0.331 0.000 [4 per cell]
4 Li 0.243 0.337 0.743 [8 per cell]
5 Li 0.250 0.000 0.749 [4 per cell]
6 Ni 0.123 0.000 0.372 [4 per cell]
7 Ni 0.124 0.334 0.376 [8 per cell]
8 Ni 0.124 0.500 0.874 [4 per cell]
9 Ni 0.126 0.166 0.877 [8 per cell]
10 O 0.058 0.000 0.697 [4 per cell]
11 O 0.059 0.160 0.197 [8 per cell]
12 O 0.061 0.500 0.203 [4 per cell]
13 O 0.063 0.322 0.708 [8 per cell]
14 O 0.188 0.163 0.545 [8 per cell]
15 O 0.191 0.000 0.047 [4 per cell]
16 O 0.191 0.329 0.056 [8 per cell]
17 O 0.201 0.500 0.562 [4 per cell]

Calculated values
DOS(E_F) = 36.326 states/eV per cell
formation energy from raw total energies = -1.595 eV per atom
final energy = -889.77 eV/cell
V = 8.39 Å³/atom


Record 9
Entry from Alexandria via LeMat-Bulk: LiNi4O5 at its PBEsol-relaxed geometry (meta-GGA SCAN).

a b c (Å): 6.422 6.422 4.058
angles (deg): 90.00 90.00 90.00
Space group I4/m (No. 87)
One atom of each set of equivalent atoms:
1 Li 0.000 0.000 0.000 [2 per cell]
2 Ni 0.101 0.295 0.500 [8 per cell]
3 O 0.000 0.000 0.500 [2 per cell]
4 O 0.115 0.312 0.000 [8 per cell]

Calculated values
DOS(E_F) = 7.060 states/eV per cell
formation energy from raw total energies = -1.391 eV per atom
final energy = -224.30 eV/cell
V = 8.37 Å³/atom


Record 10
Entry from Alexandria via LeMat-Bulk: Li4Ni5O10 at its PBEsol-relaxed geometry (meta-GGA SCAN).

a b c (Å): 4.965 14.100 4.983
angles (deg): 90.00 109.73 90.00
Space group C2/m (No. 12)
One atom of each set of equivalent atoms:
1 Li 0.000 0.096 0.000 [4 per cell]
2 Li 0.000 0.308 0.000 [4 per cell]
3 Ni 0.000 0.000 0.500 [2 per cell]
4 Ni 0.000 0.201 0.500 [4 per cell]
5 Ni 0.000 0.401 0.500 [4 per cell]
6 O 0.223 0.105 0.719 [8 per cell]
7 O 0.238 0.299 0.717 [8 per cell]
8 O 0.249 0.500 0.704 [4 per cell]

Calculated values
DOS(E_F) = 14.090 states/eV per cell
formation energy from raw total energies = -1.541 eV per atom
final energy = -364.05 eV/cell
V = 8.64 Å³/atom


Record 11
Entry from Alexandria via LeMat-Bulk: LiNi2O4 at its PBEsol-relaxed geometry (meta-GGA SCAN).

a b c (Å): 5.658 5.659 5.659
angles (deg): 119.95 119.95 90.07
Space group P-1 (No. 2)
One atom of each set of equivalent atoms:
1 Li 0.125 0.375 0.250 [2 per cell]
2 Ni 0.000 0.000 0.500 [1 per cell]
3 Ni 0.500 0.000 0.000 [1 per cell]
4 Ni 0.500 0.000 0.500 [1 per cell]
5 Ni 0.500 0.500 0.000 [1 per cell]
6 O 0.264 0.236 0.528 [2 per cell]
7 O 0.264 0.236 0.972 [2 per cell]
8 O 0.264 0.792 0.529 [2 per cell]
9 O 0.292 0.764 0.028 [2 per cell]

Calculated values
DOS(E_F) = 8.854 states/eV per cell
formation energy from raw total energies = -1.415 eV per atom
final energy = -139.13 eV/cell
V = 9.16 Å³/atom


Record 12
Entry from Alexandria via LeMat-Bulk: LiNiO2 at its PBEsol-relaxed geometry (meta-GGA SCAN).

a b c (Å): 7.913 8.113 7.914
angles (deg): 90.00 90.15 90.00
Space group C2/m (No. 12)
One atom of each set of equivalent atoms:
1 Li 0.000 0.000 0.000 [2 per cell]
2 Li 0.000 0.500 0.500 [2 per cell]
3 Li 0.249 0.000 0.749 [4 per cell]
4 Li 0.250 0.250 0.000 [4 per cell]
5 Li 0.250 0.250 0.500 [4 per cell]
6 Ni 0.000 0.000 0.500 [2 per cell]
7 Ni 0.000 0.249 0.250 [8 per cell]
8 Ni 0.000 0.500 0.000 [2 per cell]
9 Ni 0.250 0.000 0.250 [4 per cell]
10 O 0.000 0.234 0.500 [4 per cell]
11 O 0.000 0.267 0.000 [4 per cell]
12 O 0.008 0.500 0.757 [4 per cell]
13 O 0.009 0.000 0.251 [4 per cell]
14 O 0.238 0.000 0.488 [4 per cell]
15 O 0.238 0.500 0.989 [4 per cell]
16 O 0.250 0.234 0.250 [8 per cell]

Calculated values
DOS(E_F) = 15.492 states/eV per cell
formation energy from raw total energies = -1.601 eV per atom
final energy = -598.88 eV/cell
V = 7.94 Å³/atom


What is the final energy in the sixth record?
-294.71 eV/cell